Compound: Ni2Pt
Source: Alexandria
Functional: SCAN
Structure: PBEsol geometry

Output
The total magnetization is 2.03 μB/f.u. The raw total energy is -34.275 eV per atom.

Geometry as CIF:
```
data_Ni2Pt
_chemical_formula_sum 'Ni8 Pt4'
_symmetry_space_group_name_H-M 'P 1 21/m 1'
_symmetry_Int_Tables_number 11
_cell_length_a 6.243
_cell_length_b 2.642
_cell_length_c 8.820
_cell_angle_alpha 90.00
_cell_angle_beta 91.78
_cell_angle_gamma 90.00
loop_
_symmetry_equiv_pos_as_xyz
'x,y,z'
'-x,-y,-z'
'-x,y+1/2,-z'
'x,-y+1/2,z'
loop_
_atom_site_label
_atom_site_type_symbol
_atom_site_fract_x
_atom_site_fract_y
_atom_site_fract_z
Ni1 Ni 0.003 0.250 0.384
Ni2 Ni 0.007 0.750 0.138
Ni3 Ni 0.313 0.250 0.698
Ni4 Ni 0.333 0.750 0.472
Pt1 Pt 0.315 0.750 0.952
Pt2 Pt 0.339 0.250 0.228
```